Run a
Cs2NaCl | GGA-PBE | optimized geometry

Cell lengths 11.1315, 11.1315, 11.1315 Å; angles 26.29, 26.29, 26.29 degrees
Fractional positions:
Cs (0.2297, 0.2297, 0.2297)
Cs (0.7703, 0.7703, 0.7703)
Na (0.0000, 0.0000, 0.0000)
Cl (0.5000, 0.5000, 0.5000)

Results
* N(E_F): 2.33 states/eV/cell



Run b
Cs2NaCl | GGA-PBE | optimized geometry

Cell lengths 9.0784, 9.0784, 9.0784 Å; angles 112.69, 112.69, 103.21 degrees
Fractional positions:
Cs (0.0428, 0.6250, 0.9178)
Cs (0.3750, 0.2928, 0.4178)
Cs (0.7072, 0.1250, 0.0822)
Cs (0.8750, 0.9572, 0.5822)
Na (0.2500, 0.7500, 0.5000)
Na (0.5000, 0.5000, 0.0000)
Cl (0.0000, 0.0000, 0.0000)
Cl (0.7500, 0.2500, 0.5000)

Results
* N(E_F): 0.07 states/eV/cell



Energy relative to the most stable one, in meV/atom: run a 0; run b 30



Run a
CsNa2Cl2 | GGA-PBE | optimized geometry

Cell lengths 7.1362, 7.1362, 7.1362 Å; angles 136.14, 136.14, 63.77 degrees
Fractional positions:
Cs (0.0000, 0.0000, 0.0000)
Na (0.3278, 0.3278, 0.0000)
Na (0.6722, 0.6722, 0.0000)
Cl (0.2500, 0.7500, 0.5000)
Cl (0.7500, 0.2500, 0.5000)

Results
* N(E_F): 1.33 states/eV/cell



Run b
CsNa2Cl2 | GGA-PBE | optimized geometry

Cell lengths 9.5181, 9.5181, 9.5181 Å; angles 147.88, 147.88, 46.06 degrees
Fractional positions:
Cs (0.0000, 0.0000, 0.0000)
Na (0.2500, 0.7500, 0.5000)
Na (0.7500, 0.2500, 0.5000)
Cl (0.2016, 0.2016, 0.0000)
Cl (0.7984, 0.7984, 0.0000)

Results
* N(E_F): 1.28 states/eV/cell



Run c
CsNa2Cl2 | GGA-PBE | optimized geometry

Cell lengths 8.9854, 8.9854, 4.3104 Å; angles 90.00, 90.00, 90.00 degrees
Fractional positions:
Cs (0.0000, 0.0000, 0.0000)
Cs (0.5000, 0.5000, 0.0000)
Na (0.1224, 0.3776, 0.5000)
Na (0.3776, 0.8776, 0.5000)
Na (0.6224, 0.1224, 0.5000)
Na (0.8776, 0.6224, 0.5000)
Cl (0.1400, 0.6400, 0.0000)
Cl (0.3600, 0.1400, 0.0000)
Cl (0.6400, 0.8600, 0.0000)
Cl (0.8600, 0.3600, 0.0000)

Results
* N(E_F): 2.48 states/eV/cell



Energy relative to the most stable one, in meV/atom: run a 12; run b 0; run c 207



Run a
CsNa2Cl | GGA-PBE | optimized geometry

Cell lengths 8.7737, 8.7737, 8.7737 Å; angles 119.85, 119.85, 90.25 degrees
Fractional positions:
Cs (0.3750, 0.6250, 0.7500)
Cs (0.6250, 0.3750, 0.2500)
Na (0.0000, 0.0000, 0.0000)
Na (0.0000, 0.0000, 0.5000)
Na (0.0000, 0.5000, 0.0000)
Na (0.5000, 0.0000, 0.5000)
Cl (0.1250, 0.8750, 0.2500)
Cl (0.8750, 0.1250, 0.7500)

Results
* N(E_F): 4.45 states/eV/cell



Run b
CsNa2Cl | GGA-PBE | optimized geometry

Cell lengths 12.0534, 12.0534, 12.0534 Å; angles 20.61, 20.61, 20.61 degrees
Fractional positions:
Cs (0.0000, 0.0000, 0.0000)
Na (0.1224, 0.1224, 0.1224)
Na (0.8776, 0.8776, 0.8776)
Cl (0.5000, 0.5000, 0.5000)

Results
* N(E_F): 3.09 states/eV/cell



Energy relative to the most stable one, in meV/atom: run a 0; run b 12